NbPtCl3 | PBE-GGA | optimized geometry

a = 4.8998 Å, b = 4.8998 Å, c = 4.8998 Å
α = 90.00°, β = 90.00°, γ = 90.00°
Fractional positions:
1 Nb 0.0000 0.0000 0.0000
2 Pt 0.5000 0.5000 0.5000
3 Cl 0.0000 0.5000 0.5000
4 Cl 0.5000 0.0000 0.5000
5 Cl 0.5000 0.5000 0.0000

Summary:
- Space-group type: Pm-3m, No. 221
- Formation energy (no corrections): 513 meV/atom
- E above lowest polymorph: 151.9 kJ/mol of formula units